VASP calculation (PBE) on a relaxed Na2Fe2Ni crystal.

Computed properties:
- magnetization (Bohr magnetons per cell) = 4.940
- DFT formation energy (meV/atom) = 776
- symmetry = I4/mmm, No. 139
- volume (Å³/atom) = 19.25

Cell lengths 9.6935, 9.6935, 9.6935 Å; angles 161.02, 161.02, 26.96 degrees
Fractional coordinates of all 5 atoms:
Na (0.1036, 0.1036, 0.0000)
Na (0.8964, 0.8964, 0.0000)
Fe (0.2500, 0.7500, 0.5000)
Fe (0.7500, 0.2500, 0.5000)
Ni (0.5000, 0.5000, 0.0000)

VASP calculation (PBE) on a relaxed CuRuBr2 crystal.

Computed properties:
- magnetization (Bohr magnetons per cell) = 2.216
- symmetry = Cmm2, No. 35
- volume (Å³/atom) = 22.99
- uncorrected formation energy (eV per atom) = 0.395

Cell lengths 3.4901, 3.4901, 7.9193 Å; angles 90.00, 90.00, 107.57 degrees
Fractional coordinates of all 4 atoms:
Cu (0.0000, 0.0000, 0.0000)
Ru (0.5000, 0.5000, 0.1819)
Br (0.0000, 0.0000, 0.3857)
Br (0.5000, 0.5000, 0.8380)

VASP calculation (PBE) on a relaxed Ho5InSi2 crystal.

Computed properties:
- magnetization (Bohr magnetons per cell) = 0.001
- symmetry = I4/mcm, No. 140
- volume (Å³/atom) = 25.52
- uncorrected formation energy (eV per atom) = -0.598

Cell lengths 8.8049, 8.8049, 8.8049 Å; angles 128.33, 128.33, 76.10 degrees
Fractional coordinates of all 16 atoms:
Ho (0.0000, 0.0000, 0.0000)
Ho (0.0267, 0.5267, 0.8318)
Ho (0.1950, 0.0267, 0.5000)
Ho (0.3050, 0.8050, 0.8318)
Ho (0.4733, 0.3050, 0.5000)
Ho (0.5000, 0.5000, 0.0000)
Ho (0.5267, 0.6950, 0.5000)
Ho (0.6950, 0.1950, 0.1682)
Ho (0.8050, 0.9733, 0.5000)
Ho (0.9733, 0.4733, 0.1682)
In (0.2500, 0.2500, 0.0000)
In (0.7500, 0.7500, 0.0000)
Si (0.1321, 0.3679, 0.5000)
Si (0.3679, 0.8679, 0.2358)
Si (0.6321, 0.1321, 0.7642)
Si (0.8679, 0.6321, 0.5000)

VASP calculation (PBE) on a relaxed CeHoSc2 crystal.

Computed properties:
- magnetization (Bohr magnetons per cell) = 1.060
- DFT formation energy (meV/atom) = 156
- symmetry = Cmmm, No. 65
- volume (Å³/atom) = 27.13

Cell lengths 3.2728, 3.2728, 11.2358 Å; angles 90.00, 90.00, 115.60 degrees
Fractional coordinates of all 4 atoms:
Ce (0.0000, 0.0000, 0.0000)
Ho (0.0000, 0.0000, 0.5000)
Sc (0.5000, 0.5000, 0.2496)
Sc (0.5000, 0.5000, 0.7504)

VASP calculation (PBE) on a relaxed InCo2Hg crystal.

Computed properties:
- magnetization (Bohr magnetons per cell) = 2.086
- DFT formation energy (meV/atom) = 474
- symmetry = R-3m, No. 166
- volume (Å³/atom) = 16.32

Cell lengths 8.5243, 8.5243, 8.5243 Å; angles 20.31, 20.31, 20.31 degrees
Fractional coordinates of all 4 atoms:
In (0.0000, 0.0000, 0.0000)
Co (0.2515, 0.2515, 0.2515)
Co (0.7485, 0.7485, 0.7485)
Hg (0.5000, 0.5000, 0.5000)

VASP calculation (PBE) on a relaxed Sm2BeCo crystal.

Computed properties:
- magnetization (Bohr magnetons per cell) = 0.000
- DFT formation energy (meV/atom) = -115
- symmetry = Cm, No. 8
- volume (Å³/atom) = 22.80

Cell lengths 3.8684, 3.8684, 7.3913 Å; angles 105.13, 105.13, 59.85 degrees
Fractional coordinates of all 4 atoms:
Sm (0.0000, 0.0000, 0.0000)
Sm (0.1732, 0.1732, 0.5206)
Be (0.4196, 0.4196, 0.2598)
Co (0.7529, 0.7529, 0.2607)

VASP calculation (PBE) on a relaxed Rb3AsI6 crystal.

Computed properties:
- magnetization (Bohr magnetons per cell) = 0.000
- symmetry = P2_1/c, No. 14
- volume (Å³/atom) = 48.26
- uncorrected formation energy (eV per atom) = -0.950

Cell lengths 8.6131, 9.1843, 14.7143 Å; angles 90.00, 123.99, 90.00 degrees
Fractional coordinates of all 20 atoms:
Rb (0.0000, 0.0000, 0.0000)
Rb (0.0000, 0.5000, 0.5000)
Rb (0.2108, 0.0789, 0.7425)
Rb (0.2108, 0.4211, 0.2425)
Rb (0.7892, 0.5789, 0.7575)
Rb (0.7892, 0.9211, 0.2575)
As (0.5000, 0.0000, 0.5000)
As (0.5000, 0.5000, 0.0000)
I (0.1775, 0.1716, 0.4503)
I (0.1775, 0.3284, 0.9503)
I (0.2712, 0.7367, 0.4283)
I (0.2712, 0.7633, 0.9283)
I (0.4039, 0.0492, 0.2796)
I (0.4039, 0.4508, 0.7796)
I (0.5961, 0.5492, 0.2204)
I (0.5961, 0.9508, 0.7204)
I (0.7288, 0.2367, 0.0717)
I (0.7288, 0.2633, 0.5717)
I (0.8225, 0.6716, 0.0497)
I (0.8225, 0.8284, 0.5497)

VASP calculation (PBE) on a relaxed ScAsP2 crystal.

Computed properties:
- magnetization (Bohr magnetons per cell) = 0.000
- DFT formation energy (meV/atom) = -276
- symmetry = P4/mmm, No. 123
- volume (Å³/atom) = 17.14

Cell lengths 4.4408, 4.4408, 3.4771 Å; angles 90.00, 90.00, 90.00 degrees
Fractional coordinates of all 4 atoms:
Sc (0.0000, 0.0000, 0.0000)
As (0.5000, 0.5000, 0.0000)
P (0.0000, 0.5000, 0.5000)
P (0.5000, 0.0000, 0.5000)

VASP calculation (PBE) on a relaxed ReNi3Pt12 crystal.

Computed properties:
- magnetization (Bohr magnetons per cell) = 3.692
- DFT formation energy (meV/atom) = -61
- symmetry = P4/mmm, No. 123
- volume (Å³/atom) = 14.85

Cell lengths 3.9070, 3.9070, 15.5687 Å; angles 90.00, 90.00, 90.00 degrees
Fractional coordinates of all 16 atoms:
Re (0.0000, 0.0000, 0.0000)
Ni (0.0000, 0.0000, 0.2540)
Ni (0.0000, 0.0000, 0.5000)
Ni (0.0000, 0.0000, 0.7460)
Pt (0.0000, 0.5000, 0.1257)
Pt (0.0000, 0.5000, 0.3762)
Pt (0.0000, 0.5000, 0.6238)
Pt (0.0000, 0.5000, 0.8743)
Pt (0.5000, 0.0000, 0.1257)
Pt (0.5000, 0.0000, 0.3762)
Pt (0.5000, 0.0000, 0.6238)
Pt (0.5000, 0.0000, 0.8743)
Pt (0.5000, 0.5000, 0.0000)
Pt (0.5000, 0.5000, 0.2519)
Pt (0.5000, 0.5000, 0.5000)
Pt (0.5000, 0.5000, 0.7481)

VASP calculation (PBE) on a relaxed Pm2Er2Bi2P crystal.

Computed properties:
- magnetization (Bohr magnetons per cell) = 0.000
- DFT formation energy (meV/atom) = -842
- symmetry = I4/mmm, No. 139
- volume (Å³/atom) = 30.85

Cell lengths 9.0310, 9.0310, 9.0310 Å; angles 147.15, 147.15, 47.15 degrees
Fractional coordinates of all 7 atoms:
Pm (0.1675, 0.1675, 0.0000)
Pm (0.8325, 0.8325, 0.0000)
Er (0.0000, 0.5000, 0.5000)
Er (0.5000, 0.0000, 0.5000)
Bi (0.3650, 0.3650, 0.0000)
Bi (0.6350, 0.6350, 0.0000)
P (0.0000, 0.0000, 0.0000)

VASP calculation (PBE) on a relaxed Pm5PrSmY2 crystal.

Computed properties:
- magnetization (Bohr magnetons per cell) = 0.000
- DFT formation energy (meV/atom) = 144
- symmetry = Cmc2_1, No. 36
- volume (Å³/atom) = 34.75

Cell lengths 10.5996, 10.5996, 10.6833 Å; angles 90.00, 90.00, 148.59 degrees
Fractional coordinates of all 18 atoms:
Pm (0.0179, 0.9821, 0.5000)
Pm (0.2813, 0.7187, 0.7859)
Pm (0.2967, 0.7033, 0.1807)
Pm (0.3919, 0.6081, 0.5013)
Pm (0.4774, 0.5226, 0.2158)
Pm (0.5226, 0.4774, 0.7158)
Pm (0.6081, 0.3919, 0.0013)
Pm (0.7033, 0.2967, 0.6807)
Pm (0.7187, 0.2813, 0.2859)
Pm (0.9821, 0.0179, 0.0000)
Pr (0.4141, 0.5859, 0.9265)
Pr (0.5859, 0.4141, 0.4265)
Sm (0.2020, 0.7980, 0.4857)
Sm (0.7980, 0.2020, 0.9857)
Y (0.1124, 0.8876, 0.2079)
Y (0.1171, 0.8829, 0.7999)
Y (0.8829, 0.1171, 0.2999)
Y (0.8876, 0.1124, 0.7079)

VASP calculation (PBE) on a relaxed La7YTm4 crystal.

Computed properties:
- magnetization (Bohr magnetons per cell) = 0.000
- DFT formation energy (meV/atom) = 14
- symmetry = P-1, No. 2
- volume (Å³/atom) = 34.26

Cell lengths 6.3847, 7.3183, 9.0511 Å; angles 89.98, 76.45, 89.98 degrees
Fractional coordinates of all 12 atoms:
La (0.0000, 0.0000, 0.0000)
La (0.2246, 0.0002, 0.3340)
La (0.2814, 0.2516, 0.6634)
La (0.4998, 0.2560, 0.0033)
La (0.5002, 0.7440, 0.9967)
La (0.7186, 0.7484, 0.3366)
La (0.7754, 0.9998, 0.6660)
Y (0.0000, 0.5000, 0.0000)
Tm (0.2160, 0.4996, 0.3363)
Tm (0.2758, 0.7409, 0.6672)
Tm (0.7242, 0.2591, 0.3328)
Tm (0.7840, 0.5004, 0.6637)

VASP calculation (PBE) on a relaxed Nd5Zn2Sn5 crystal.

Computed properties:
- magnetization (Bohr magnetons per cell) = 0.000
- DFT formation energy (meV/atom) = -655
- symmetry = C2/m, No. 12
- volume (Å³/atom) = 27.37

Cell lengths 8.4785, 8.4785, 11.2691 Å; angles 127.72, 127.72, 31.69 degrees
Fractional coordinates of all 12 atoms:
Nd (0.0000, 0.0000, 0.0000)
Nd (0.1067, 0.1067, 0.4172)
Nd (0.1923, 0.1923, 0.8256)
Nd (0.8077, 0.8077, 0.1744)
Nd (0.8933, 0.8933, 0.5828)
Zn (0.3595, 0.3595, 0.7609)
Zn (0.6405, 0.6405, 0.2391)
Sn (0.2549, 0.2549, 0.3200)
Sn (0.4363, 0.4363, 0.1410)
Sn (0.5000, 0.5000, 0.5000)
Sn (0.5637, 0.5637, 0.8590)
Sn (0.7451, 0.7451, 0.6800)

VASP calculation (PBE) on a relaxed AlSbRu2 crystal.

Computed properties:
- magnetization (Bohr magnetons per cell) = 0.438
- symmetry = R-3m, No. 166
- volume (Å³/atom) = 16.28
- uncorrected formation energy (eV per atom) = -0.026

Cell lengths 8.0945, 8.0945, 8.0945 Å; angles 21.97, 21.97, 21.97 degrees
Fractional coordinates of all 4 atoms:
Al (0.0000, 0.0000, 0.0000)
Sb (0.5000, 0.5000, 0.5000)
Ru (0.2522, 0.2522, 0.2522)
Ru (0.7478, 0.7478, 0.7478)

VASP calculation (PBE) on a relaxed BaLaMg2Cu crystal.

Computed properties:
- magnetization (Bohr magnetons per cell) = 0.001
- DFT formation energy (meV/atom) = 38
- symmetry = P4/mmm, No. 123
- volume (Å³/atom) = 31.22

Cell lengths 5.3223, 5.3223, 5.5111 Å; angles 90.00, 90.00, 90.00 degrees
Fractional coordinates of all 5 atoms:
Ba (0.0000, 0.0000, 0.0000)
La (0.5000, 0.5000, 0.0000)
Mg (0.0000, 0.5000, 0.5000)
Mg (0.5000, 0.0000, 0.5000)
Cu (0.5000, 0.5000, 0.5000)

VASP calculation (PBE) on a relaxed Tb7Er3Sc crystal.

Computed properties:
- magnetization (Bohr magnetons per cell) = 0.000
- DFT formation energy (meV/atom) = 144
- symmetry = C2/m, No. 12
- volume (Å³/atom) = 31.62

Cell lengths 9.7137, 9.7137, 11.0972 Å; angles 90.09, 90.09, 138.37 degrees
Fractional coordinates of all 22 atoms:
Tb (0.0882, 0.4087, 0.0288)
Tb (0.0914, 0.4119, 0.4710)
Tb (0.1644, 0.3367, 0.7499)
Tb (0.2488, 0.2488, 0.2498)
Tb (0.3367, 0.1644, 0.7499)
Tb (0.4087, 0.0882, 0.0288)
Tb (0.4119, 0.0914, 0.4710)
Tb (0.5881, 0.9086, 0.5290)
Tb (0.5913, 0.9118, 0.9712)
Tb (0.6633, 0.8356, 0.2501)
Tb (0.7512, 0.7512, 0.7502)
Tb (0.8356, 0.6633, 0.2501)
Tb (0.9086, 0.5881, 0.5290)
Tb (0.9118, 0.5913, 0.9712)
Er (0.0000, 0.0000, 0.5000)
Er (0.2498, 0.7500, 0.2499)
Er (0.2500, 0.7502, 0.7501)
Er (0.5000, 0.5000, 0.0000)
Er (0.7500, 0.2498, 0.2499)
Er (0.7502, 0.2500, 0.7501)
Sc (0.0000, 0.0000, 0.0000)
Sc (0.5000, 0.5000, 0.5000)

VASP calculation (PBE) on a relaxed La2CoCu crystal.

Computed properties:
- magnetization (Bohr magnetons per cell) = 0.000
- DFT formation energy (meV/atom) = -27
- symmetry = R-3m, No. 166
- volume (Å³/atom) = 25.56

Cell lengths 7.5147, 7.5147, 7.5147 Å; angles 31.40, 31.40, 31.40 degrees
Fractional coordinates of all 4 atoms:
La (0.2388, 0.2388, 0.2388)
La (0.7612, 0.7612, 0.7612)
Co (0.5000, 0.5000, 0.5000)
Cu (0.0000, 0.0000, 0.0000)

VASP calculation (PBE) on a relaxed Cs2Cd2Cl crystal.

Computed properties:
- magnetization (Bohr magnetons per cell) = 0.000
- symmetry = I4/mmm, No. 139
- volume (Å³/atom) = 40.20
- uncorrected formation energy (eV per atom) = -0.754

Cell lengths 11.3838, 11.3838, 11.3838 Å; angles 158.33, 158.33, 30.83 degrees
Fractional coordinates of all 5 atoms:
Cs (0.0928, 0.0928, 0.0000)
Cs (0.9072, 0.9072, 0.0000)
Cd (0.2500, 0.7500, 0.5000)
Cd (0.7500, 0.2500, 0.5000)
Cl (0.5000, 0.5000, 0.0000)

VASP calculation (PBE) on a relaxed ScSiIr crystal.

Computed properties:
- magnetization (Bohr magnetons per cell) = 0.000
- symmetry = P2_1/m, No. 11
- volume (Å³/atom) = 16.16
- uncorrected formation energy (eV per atom) = -1.071

Cell lengths 6.5523, 3.9656, 11.1934 Å; angles 90.00, 90.28, 90.00 degrees
Fractional coordinates of all 18 atoms:
Sc (0.0020, 0.2500, 0.2049)
Sc (0.3339, 0.2500, 0.4226)
Sc (0.4866, 0.2500, 0.1278)
Sc (0.5134, 0.7500, 0.8722)
Sc (0.6661, 0.7500, 0.5774)
Sc (0.9980, 0.7500, 0.7951)
Si (0.2114, 0.2500, 0.9190)
Si (0.2248, 0.7500, 0.5957)
Si (0.2859, 0.7500, 0.2478)
Si (0.7141, 0.2500, 0.7522)
Si (0.7752, 0.2500, 0.4043)
Si (0.7886, 0.7500, 0.0810)
Ir (0.0366, 0.7500, 0.4087)
Ir (0.1624, 0.7500, 0.0367)
Ir (0.3464, 0.2500, 0.7060)
Ir (0.6536, 0.7500, 0.2940)
Ir (0.8376, 0.2500, 0.9633)
Ir (0.9634, 0.2500, 0.5913)

VASP calculation (PBE) on a relaxed SmCdPb6 crystal.

Computed properties:
- magnetization (Bohr magnetons per cell) = 0.000
- DFT formation energy (meV/atom) = -117
- symmetry = Cmmm, No. 65
- volume (Å³/atom) = 29.67

Cell lengths 6.8757, 6.8757, 5.0207 Å; angles 90.00, 90.00, 90.41 degrees
Fractional coordinates of all 8 atoms:
Sm (0.0000, 0.0000, 0.0000)
Cd (0.5000, 0.5000, 0.0000)
Pb (0.0000, 0.5000, 0.0000)
Pb (0.2547, 0.7453, 0.5000)
Pb (0.2569, 0.2569, 0.5000)
Pb (0.5000, 0.0000, 0.0000)
Pb (0.7431, 0.7431, 0.5000)
Pb (0.7453, 0.2547, 0.5000)